Entry 1:
Li2FeO2F: PBEsol geometry, SCAN.

The calculation puts the energy above the most stable polymorph in this dataset at 0.0 kJ/mol of atoms. The crystal system is trigonal. The electronic total energy comes out at -8.80 eV per atom. The calculation puts the uncorrected formation energy at -224 kJ per mole of atoms. As for the volume: 7.91 Å³/atom.

abc: 2.8027 2.8027 13.9571
angles: 90.00 90.00 120.00
Last column: nearest neighbours and their distance in Å.
Fractional coordinates of all 12 atoms:
Li1 0.0000 0.0000 0.0000  6 O 2.07
Li2 0.0000 0.0000 0.5000  6 F 1.99
Li3 0.3333 0.6667 0.3345  3 F 1.99, 3 O 2.07
Li4 0.6667 0.3333 0.6656  3 F 1.99, 3 O 2.07
Fe1 0.6667 0.3333 0.1670  6 O 1.92
Fe2 0.3333 0.6667 0.8330  6 O 1.92
O1 0.3333 0.6667 0.0926  3 Fe 1.92, 3 Li 2.07
O2 0.6667 0.3333 0.9074  3 Fe 1.92, 3 Li 2.07
O3 0.0000 0.0000 0.7586  3 Fe 1.92, 3 Li 2.07
O4 0.0000 0.0000 0.2414  3 Fe 1.92, 3 Li 2.07
F1 0.3333 0.6667 0.5829  6 Li 1.99
F2 0.6667 0.3333 0.4171  6 Li 1.99


Entry 2:
CuOsRh2: PBEsol geometry, SCAN.

Its density of states at the Fermi level is 2.074 states/eV/cell. Its formation energy is 7.50 kcal/mol of atoms. The calculation puts the energy above the most stable polymorph in this dataset at 28.6 kJ/mol of atoms. The crystal system is cubic. The electronic total energy comes out at -38.33 eV per atom. As for the volume: 13.53 Å³/atom.

abc: 4.2458 4.2458 4.2458
angles: 60.00 60.00 60.00
Last column: nearest neighbours and their distance in Å.
Fractional coordinates of all 4 atoms:
Cu1 0.0000 0.0000 0.0000  8 Rh 2.60
Os1 0.5000 0.5000 0.5000  8 Rh 2.60
Rh1 0.2500 0.2500 0.2500  4 Cu 2.60, 4 Os 2.60
Rh2 0.7500 0.7500 0.7500  4 Os 2.60, 4 Cu 2.60


Entry 3:
MgPt2Rh: PBEsol geometry, SCAN.

Its density of states at the Fermi level is 3.611 states/eV/cell. Its formation energy is -10.91 kcal/mol of atoms. The crystal system is tetragonal. The electronic total energy comes out at -45.26 eV per atom. As for the volume: 14.74 Å³/atom.

abc: 3.8999 3.8999 4.7567
angles: 114.20 114.20 90.00
Last column: nearest neighbours and their distance in Å.
Fractional coordinates of all 4 atoms:
Mg1 0.2500 0.7500 0.5000  4 Rh 2.75, 8 Pt 2.75-2.76
Rh1 0.5000 0.5000 0.0000  4 Mg 2.75, 8 Pt 2.75-2.76
Pt1 0.0000 0.0000 0.0000  4 Mg 2.75, 4 Pt 2.75, 4 Rh 2.76
Pt2 0.7500 0.2500 0.5000  4 Rh 2.75, 4 Pt 2.75, 4 Mg 2.76


Entry 4:
Zn2RhBr: PBEsol geometry, SCAN.

Its density of states at the Fermi level is 2.026 states/eV/cell. The calculation puts the energy above the most stable polymorph in this dataset at 3.4 kJ/mol of atoms. The crystal system is monoclinic. The electronic total energy comes out at -20.17 eV per atom. The calculation puts the uncorrected formation energy at -10 kJ per mole of atoms. As for the volume: 20.00 Å³/atom.

abc: 3.0996 4.4384 6.5766
angles: 108.05 90.00 110.44
Last column: nearest neighbours and their distance in Å.
Fractional coordinates of all 4 atoms:
Br1 0.5705 0.1410 0.4753  1 Zn 2.45, 1 Rh 2.47
Rh1 0.6629 0.3258 0.8732  5 Zn 2.41-2.49, 1 Br 2.47
Zn1 0.9690 0.9381 0.9724  3 Rh 2.41-2.47, 1 Zn 2.62
Zn2 0.2975 0.5951 0.1791  1 Br 2.45, 2 Rh 2.49, 1 Zn 2.62